No. 1
PuPaSb2N: optimized geometry, GGA-PBE.

Cell lengths 3.987, 3.987, 14.123 Å; angles 90.00, 90.00, 90.00 degrees
Fractional coordinates of all 10 atoms:
Pu 0.250 0.250 0.057
Pu 0.750 0.750 0.943
Pa 0.250 0.250 0.582
Pa 0.750 0.750 0.418
Sb 0.250 0.250 0.293
Sb 0.250 0.250 0.835
Sb 0.750 0.750 0.165
Sb 0.750 0.750 0.707
N 0.250 0.750 0.500
N 0.750 0.250 0.500

- N(E_F) (states/eV per cell) = 17.7
- crystal system = tetragonal
- M_tot (μB per formula unit) = 5.24
- space-group type = No. 129
- formation energy from raw total energies (eV per atom) = -0.871

***

No. 2
PuPaSbN: optimized geometry, GGA-PBE.

Cell lengths 4.519, 4.519, 8.881 Å; angles 90.00, 90.00, 90.00 degrees
Fractional coordinates of all 8 atoms:
Pu 0.250 0.750 0.000
Pu 0.750 0.250 0.000
Pa 0.250 0.250 0.338
Pa 0.750 0.750 0.662
Sb 0.250 0.250 0.703
Sb 0.750 0.750 0.297
N 0.250 0.250 0.106
N 0.750 0.750 0.894

- N(E_F) (states/eV per cell) = 14.9
- crystal system = tetragonal
- M_tot (μB per formula unit) = 6.39
- space-group type = No. 129
- formation energy from raw total energies (eV per atom) = -0.983

***

No. 3
Pu2PaSb2N2: optimized geometry, GGA-PBE.

Cell lengths 4.409, 4.409, 15.848 Å; angles 90.00, 90.00, 90.00 degrees
Fractional coordinates of all 14 atoms:
Pu 0.000 0.000 0.104
Pu 0.000 0.000 0.896
Pu 0.500 0.500 0.396
Pu 0.500 0.500 0.604
Pa 0.000 0.000 0.500
Pa 0.500 0.500 0.000
Sb 0.000 0.000 0.301
Sb 0.000 0.000 0.699
Sb 0.500 0.500 0.199
Sb 0.500 0.500 0.801
N 0.000 0.500 0.000
N 0.000 0.500 0.500
N 0.500 0.000 0.000
N 0.500 0.000 0.500

- N(E_F) (states/eV per cell) = 48.9
- crystal system = tetragonal
- M_tot (μB per formula unit) = 11.03
- space-group type = No. 139
- formation energy from raw total energies (eV per atom) = -0.866

***

No. 4
Pu2Pa2Sb2N: optimized geometry, GGA-PBE.

Cell lengths 4.621, 4.621, 16.414 Å; angles 90.00, 90.00, 90.00 degrees
Fractional coordinates of all 14 atoms:
Pu 0.000 0.000 0.163
Pu 0.000 0.000 0.837
Pu 0.500 0.500 0.337
Pu 0.500 0.500 0.663
Pa 0.000 0.500 0.000
Pa 0.000 0.500 0.500
Pa 0.500 0.000 0.000
Pa 0.500 0.000 0.500
Sb 0.000 0.000 0.358
Sb 0.000 0.000 0.642
Sb 0.500 0.500 0.142
Sb 0.500 0.500 0.858
N 0.000 0.000 0.000
N 0.500 0.500 0.500

- N(E_F) (states/eV per cell) = 46.9
- crystal system = tetragonal
- M_tot (μB per formula unit) = 12.09
- space-group type = No. 139
- formation energy from raw total energies (eV per atom) = -0.781

***

No. 5
Pu3ScPa2N6: optimized geometry, GGA-PBE.

Cell lengths 5.991, 5.991, 5.990 Å; angles 99.57, 99.57, 119.97 degrees
Fractional coordinates of all 12 atoms:
Pu 0.000 0.000 0.000
Pu 0.335 0.665 0.000
Pu 0.665 0.335 0.000
Sc 0.500 0.500 0.500
Pa 0.167 0.833 0.500
Pa 0.833 0.167 0.500
N 0.094 0.423 0.268
N 0.250 0.250 0.733
N 0.423 0.094 0.268
N 0.577 0.906 0.732
N 0.750 0.750 0.267
N 0.906 0.577 0.732

- N(E_F) (states/eV per cell) = 13.0
- crystal system = monoclinic
- M_tot (μB per formula unit) = 15.89
- space-group type = No. 12
- formation energy from raw total energies (eV per atom) = -1.487

***

No. 6
PuPaSe2N: optimized geometry, GGA-PBE.

Cell lengths 3.980, 3.980, 14.268 Å; angles 90.00, 90.00, 90.00 degrees
Fractional coordinates of all 10 atoms:
Pu 0.250 0.250 0.111
Pu 0.750 0.750 0.889
Pa 0.250 0.250 0.582
Pa 0.750 0.750 0.418
Se 0.250 0.250 0.315
Se 0.250 0.250 0.902
Se 0.750 0.750 0.098
Se 0.750 0.750 0.685
N 0.250 0.750 0.500
N 0.750 0.250 0.500

- N(E_F) (states/eV per cell) = 21.5
- crystal system = tetragonal
- M_tot (μB per formula unit) = 5.97
- space-group type = No. 129
- formation energy from raw total energies (eV per atom) = -1.638